Model i:
BeGaFeMo: relaxed, PBE-GGA.

a = 4.092 Å, b = 4.092 Å, c = 4.092 Å
α = 60.00°, β = 60.00°, γ = 60.00°
Atoms (fractional coordinates):
Be: 0.250 0.250 0.250
Fe: 0.750 0.750 0.750
Ga: 0.000 0.000 0.000
Mo: 0.500 0.500 0.500

***

Model ii:
BeGaFeMo: relaxed, PBE-GGA.

a = 4.153 Å, b = 4.153 Å, c = 4.153 Å
α = 60.00°, β = 60.00°, γ = 60.00°
Atoms (fractional coordinates):
Be: 0.500 0.500 0.500
Fe: 0.750 0.750 0.750
Ga: 0.000 0.000 0.000
Mo: 0.250 0.250 0.250

***

Taking the most stable structure as the zero point, the relative energies in meV/atom are model i 0; model ii 152.

***

Model i:
BeGaFeNi: relaxed, PBE-GGA.

a = 3.995 Å, b = 3.995 Å, c = 3.995 Å
α = 60.00°, β = 60.00°, γ = 60.00°
Last column: magnetic moment on the atom in μB.
Atoms (fractional coordinates):
Be: 0.250 0.250 0.250  -0.04
Fe: 0.500 0.500 0.500  2.41
Ga: 0.000 0.000 0.000  -0.03
Ni: 0.750 0.750 0.750  0.34

***

Model ii:
BeGaFeNi: relaxed, PBE-GGA.

a = 3.995 Å, b = 3.995 Å, c = 3.995 Å
α = 60.00°, β = 60.00°, γ = 60.00°
Last column: magnetic moment on the atom in μB.
Atoms (fractional coordinates):
Be: 0.250 0.250 0.250  -0.03
Fe: 0.750 0.750 0.750  2.20
Ga: 0.000 0.000 0.000  -0.04
Ni: 0.500 0.500 0.500  0.38

***

Taking the most stable structure as the zero point, the relative energies in meV/atom are model i 0; model ii 13.

***

Model i:
BeFeNiGe: relaxed, PBE-GGA.

a = 3.912 Å, b = 3.912 Å, c = 3.912 Å
α = 60.00°, β = 60.00°, γ = 60.00°
Last column: magnetic moment on the atom in μB.
Atoms (fractional coordinates):
Be: 0.500 0.500 0.500  -0.01
Fe: 0.750 0.750 0.750  0.31
Ge: 0.000 0.000 0.000  -0.01
Ni: 0.250 0.250 0.250  0.05

***

Model ii:
BeFeNiGe: relaxed, PBE-GGA.

a = 3.946 Å, b = 3.946 Å, c = 3.946 Å
α = 60.00°, β = 60.00°, γ = 60.00°
Last column: magnetic moment on the atom in μB.
Atoms (fractional coordinates):
Be: 0.750 0.750 0.750  -0.05
Fe: 0.500 0.500 0.500  2.12
Ge: 0.000 0.000 0.000  -0.01
Ni: 0.250 0.250 0.250  0.21

***

Taking the most stable structure as the zero point, the relative energies in meV/atom are model i 0; model ii 287.